Computed, not measured: LaPmCu3 after structural relaxation at the PBE level of DFT.

Summary:
**DOS(E_F)**: 4.42 states/eV/f.u.
**Symmetry**: Cmcm, No. 63
**Formation energy from the elements**: -0.21 eV/atom

CIF file:
```
data_LaPmCu3
_cell_length_a 13.146
_cell_length_b 13.146
_cell_length_c 4.382
_cell_angle_alpha 90.00
_cell_angle_beta 90.00
_cell_angle_gamma 163.16
_symmetry_space_group_name_H-M 'P 1'
_symmetry_Int_Tables_number 1
loop_
_symmetry_equiv_pos_as_xyz
'x,y,z'
loop_
_atom_site_label
_atom_site_fract_x
_atom_site_fract_y
_atom_site_fract_z
La1 0.072 0.928 0.750
La2 0.928 0.072 0.250
Pm1 0.204 0.796 0.250
Pm2 0.796 0.204 0.750
Cu1 0.329 0.671 0.250
Cu2 0.381 0.619 0.750
Cu3 0.477 0.523 0.750
Cu4 0.523 0.477 0.250
Cu5 0.619 0.381 0.250
Cu6 0.671 0.329 0.750
```